Computed, not measured: crystalline Li2MnCr3O8 at its relaxed geometry at the PBE+U level of DFT.

Cell: 5.898 5.898 5.898 Å, 60.51 60.51 60.51°
Fractional coordinates of all 14 atoms:
O 0.266 0.266 0.266
O 0.733 0.733 0.289
O 0.267 0.711 0.267
O 0.267 0.267 0.711
O 0.711 0.267 0.267
O 0.733 0.289 0.733
O 0.734 0.734 0.734
O 0.289 0.733 0.733
Li 0.126 0.126 0.126
Li 0.874 0.874 0.874
Mn 0.500 0.500 0.500
Cr 0.500 0.000 0.500
Cr 0.500 0.500 0.000
Cr 0.000 0.500 0.500

The calculation puts the density of states at the Fermi level at 3.8 states/eV per cell. The space group is R-3m, No. 166. As for the electronic total energy: -0.5215 Ry per atom.